[1]
Compound: Al2PbCl
Source: Alexandria
Functional: SCAN
Structure: single point on PBEsol structure

Computed properties:
SG ... No. 47
Distance to the lowest polymorph of the same formula ... 0.125 eV/atom

abc: 3.175 5.036 5.417
angles: 90.00 90.00 90.00
Sites, in units of the cell vectors:
Pb  0.000  0.500  0.500
Al  0.000  0.000  0.000
Al  0.500  0.500  0.000
Cl  0.500  0.000  0.500

---

[2]
Compound: Al2PbCl
Source: Alexandria
Functional: SCAN
Structure: single point on PBEsol structure

Computed properties:
SG ... No. 216
Distance to the lowest polymorph of the same formula ... 0.307 eV/atom

abc: 4.975 4.975 4.975
angles: 60.00 60.00 60.00
Sites, in units of the cell vectors:
Pb  0.250  0.250  0.250
Al  0.000  0.000  0.000
Al  0.750  0.750  0.750
Cl  0.500  0.500  0.500

---

[3]
Compound: AlPb2Cl
Source: Alexandria
Functional: SCAN
Structure: single point on PBEsol structure

Computed properties:
SG ... No. 10

abc: 3.442 3.442 8.271
angles: 90.00 90.35 90.00
Sites, in units of the cell vectors:
Pb  0.995  0.000  0.261
Pb  0.005  0.000  0.739
Al  0.500  0.500  0.500
Cl  0.500  0.500  0.000

---

[4]
Compound: AlPb4Cl
Source: Alexandria
Functional: SCAN
Structure: single point on PBEsol structure

Computed properties:
SG ... No. 216

abc: 6.304 6.304 6.304
angles: 60.00 60.00 60.00
Sites, in units of the cell vectors:
Al  0.750  0.750  0.750
Cl  0.000  0.000  0.000
Pb  0.375  0.375  0.375
Pb  0.375  0.375  0.874
Pb  0.874  0.375  0.375
Pb  0.375  0.874  0.375

---

[5]
Compound: AlPb2Cl
Source: Alexandria
Functional: SCAN
Structure: single point on PBEsol structure

Computed properties:
SG ... No. 166

abc: 3.417 3.417 10.034
angles: 80.20 80.20 60.00
Sites, in units of the cell vectors:
Pb  0.253  0.253  0.241
Pb  0.747  0.747  0.759
Al  0.500  0.500  0.500
Cl  0.000  0.000  0.000

---

[6]
Compound: AlPd3Cl
Source: Alexandria
Functional: SCAN
Structure: single point on PBEsol structure

Computed properties:
SG ... No. 221

abc: 4.564 4.564 4.564
angles: 90.00 90.00 90.00
Sites, in units of the cell vectors:
Al  0.000  0.000  0.000
Pd  0.000  0.500  0.000
Pd  0.000  0.000  0.500
Pd  0.500  0.000  0.000
Cl  0.500  0.500  0.500

---

[7]
Compound: Al2PdCl8
Source: Alexandria
Functional: SCAN
Structure: single point on PBEsol structure

Computed properties:
SG ... No. 14

abc: 6.579 7.234 13.561
angles: 90.00 98.78 90.00
Site moments in Bohr magnetons follow the coordinates.
Sites, in units of the cell vectors:
Al  0.348  0.282  0.101  0.00
Al  0.348  0.218  0.601  0.00
Al  0.652  0.718  0.899  0.00
Al  0.652  0.782  0.399  0.00
Pd  0.000  0.500  0.500  0.06
Pd  0.000  0.000  0.000  0.06
Cl  0.656  0.212  0.575  0.00
Cl  0.344  0.712  0.925  0.00
Cl  0.136  0.276  0.956  0.00
Cl  0.864  0.776  0.544  0.00
Cl  0.864  0.724  0.044  0.00
Cl  0.136  0.224  0.456  0.00
Cl  0.245  0.003  0.141  0.00
Cl  0.755  0.503  0.359  0.00
Cl  0.755  0.997  0.859  0.00
Cl  0.245  0.497  0.641  0.00
Cl  0.268  0.480  0.201  0.00
Cl  0.732  0.980  0.299  0.00
Cl  0.732  0.520  0.799  0.00
Cl  0.268  0.020  0.701  0.00
Cl  0.656  0.288  0.075  0.00
Cl  0.344  0.788  0.425  0.00

---

[8]
Compound: AlPtCl2
Source: Alexandria
Functional: SCAN
Structure: single point on PBEsol structure

Computed properties:
SG ... No. 6
Distance to the lowest polymorph of the same formula ... 0.000 eV/atom

abc: 3.022 5.274 6.440
angles: 121.26 90.00 90.00
Sites, in units of the cell vectors:
Al  0.500  0.486  0.665
Pt  0.000  0.065  0.526
Cl  0.000  0.833  0.932
Cl  0.500  0.616  0.377

---

no.,formation energy (no corrections) (meV per atom),magnetization (μB/f.u.)
1,-10,0.000
2,172,0.000
3,-192,0.000
4,187,0.000
5,-91,0.000
6,195,0.000
7,-1380,0.071
8,-756,0.000